# 1
# NaGeCl, relaxed, DFT PBE-GGA
data_NaGeCl
_cell_length_a 6.6252
_cell_length_b 4.0189
_cell_length_c 6.6509
_cell_angle_alpha 90.00
_cell_angle_beta 116.02
_cell_angle_gamma 90.00
_space_group_name_H-M_alt 'P 1 m 1'
_space_group_IT_number 6
_space_group_name_Hall 'P -2y'
loop_
_atom_site_label
_atom_site_type_symbol
_atom_site_fract_x
_atom_site_fract_y
_atom_site_fract_z
Na1 Na 0.0000 0.0000 0.0000
Na2 Na 0.4538 0.0000 0.5486
Ge1 Ge 0.5011 0.0000 0.0500
Ge2 Ge 0.6881 0.5000 0.2344
Cl1 Cl 0.1199 0.5000 0.3437
Cl2 Cl 0.7953 0.5000 0.6697
# Calculated total energy ... -20.1 eV per cell
# Formation energy (no corrections) ... -750 meV/atom

# 2
# NaGeCl6, relaxed, DFT PBE-GGA
data_NaGeCl6
_cell_length_a 6.3551
_cell_length_b 11.9556
_cell_length_c 6.8282
_cell_angle_alpha 90.00
_cell_angle_beta 109.67
_cell_angle_gamma 90.00
_space_group_name_H-M_alt 'C 1 2/m 1'
_space_group_IT_number 12
_space_group_name_Hall '-C 2y'
loop_
_atom_site_label
_atom_site_type_symbol
_atom_site_fract_x
_atom_site_fract_y
_atom_site_fract_z
Na1 Na 0.0000 0.0000 0.0000
Ge1 Ge 0.0000 0.5000 0.5000
Cl1 Cl 0.1721 0.3642 0.7341
Cl2 Cl 0.1990 0.0000 0.6484
# Calculated total energy ... -46.9 eV per cell
# Formation energy (no corrections) ... -803 meV/atom

# 3
# NaGe2Cl5, relaxed, DFT PBE-GGA
data_NaGe2Cl5
_cell_length_a 9.0173
_cell_length_b 14.0123
_cell_length_c 8.1506
_cell_angle_alpha 90.00
_cell_angle_beta 90.00
_cell_angle_gamma 90.00
_space_group_name_H-M_alt 'P b c n'
_space_group_IT_number 60
_space_group_name_Hall '-P 2n 2ab'
loop_
_atom_site_label
_atom_site_type_symbol
_atom_site_fract_x
_atom_site_fract_y
_atom_site_fract_z
Na1 Na 0.0000 0.0712 0.2500
Ge1 Ge 0.1235 0.3441 0.0240
Cl1 Cl 0.0000 0.4365 0.2500
Cl2 Cl 0.1594 0.0647 0.5474
Cl3 Cl 0.2112 0.2178 0.1836
# Calculated total energy ... -112.8 eV per cell
# Formation energy (no corrections) ... -1051 meV/atom

# 4
# NaGe2Cl8, relaxed, DFT PBE-GGA
data_NaGe2Cl8
_cell_length_a 12.5767
_cell_length_b 10.1364
_cell_length_c 6.4692
_cell_angle_alpha 90.00
_cell_angle_beta 102.75
_cell_angle_gamma 90.00
_space_group_name_H-M_alt 'C 1 2/m 1'
_space_group_IT_number 12
_space_group_name_Hall '-C 2y'
loop_
_atom_site_label
_atom_site_type_symbol
_atom_site_fract_x
_atom_site_fract_y
_atom_site_fract_z
Na1 Na 0.0000 0.0000 0.0000
Ge1 Ge 0.2102 0.0000 0.6898
Cl1 Cl 0.1180 0.1728 0.7764
Cl2 Cl 0.1180 0.5000 0.1358
Cl3 Cl 0.1982 0.0000 0.3390
# Calculated total energy ... -71.5 eV per cell
# Formation energy (no corrections) ... -948 meV/atom

Number 1: ρ 2.7 Mg/m³. Number 2: ρ 2.1 Mg/m³. Number 3: ρ 2.2 Mg/m³. Number 4: ρ 1.9 Mg/m³.